This record from Alexandria via LeMat-Bulk describes a geometry-optimized Al2BC structure. The functional is PBE.

Summary:
Energy of formation from the pure elements: 0.682 eV/atom
Energy relative to the lowest polymorph listed for this composition: 0 meV per atom

a = 5.2175 Å, b = 5.2175 Å, c = 7.9425 Å
α = 90.00°, β = 90.00°, γ = 90.00°
With the nearest neighbours (Å) after each atom.
Space group I-42d (No. 122)
Symmetry-distinct sites (fractional):
Al  0.2038  0.2500  0.1250  2 C 1.95
B  0.0000  0.0000  0.5000  4 Al 2.25
C  0.0000  0.0000  0.0000  4 Al 1.95